Crystalline Ca3InP at its relaxed geometry. Source: the Alexandria database, functional PBE-GGA.

Calculated values
* ΔE to the lowest computed polymorph: 0 meV per atom
* magnetization: 0.00 μB per formula unit
* calculated total energy: -3.5372 eV per atom
* space group: P-1, No. 2
* DOS at the Fermi energy: 3.7 states/eV/cell

Cell and atoms, written as CIF:
```
data_Ca3InP
_symmetry_space_group_name_H-M 'P 1'
_symmetry_Int_Tables_number 1
_cell_length_a 5.688
_cell_length_b 6.975
_cell_length_c 9.065
_cell_angle_alpha 108.41
_cell_angle_beta 90.00
_cell_angle_gamma 114.21
loop_
_symmetry_equiv_pos_as_xyz
'x,y,z'
loop_
_atom_site_label
_atom_site_type_symbol
_atom_site_fract_x
_atom_site_fract_y
_atom_site_fract_z
_atom_site_occupancy
In1 In 0.402 0.801 0.554 1
P1 P 0.866 0.731 0.067 1
Ca1 Ca 0.368 0.734 0.100 1
Ca2 Ca 0.632 0.266 0.900 1
Ca3 Ca 0.903 0.806 0.781 1
In2 In 0.598 0.199 0.446 1
P2 P 0.134 0.269 0.933 1
Ca4 Ca 0.097 0.194 0.219 1
Ca5 Ca 0.168 0.338 0.646 1
Ca6 Ca 0.832 0.662 0.354 1
```